No. 1
VASP calculation (PBE) on crystalline BeFe2 at its relaxed geometry.

Cell: 4.559 4.559 4.559 Å, 60.00 60.00 60.00°
Positions (direct):
Be1 0.125 0.125 0.125
Be2 0.875 0.875 0.875
Fe1 0.000 0.500 0.500
Fe2 0.500 0.000 0.500
Fe3 0.500 0.500 0.000
Fe4 0.500 0.500 0.500

VASP energy, eV per atom: -6.55
Space group: No. 227

No. 2
VASP calculation (PBE) on crystalline Be2Fe at its relaxed geometry.

Cell: 4.187 4.187 3.654 Å, 90.00 90.00 53.76°
Positions (direct):
Be1 0.004 0.347 0.250
Be2 0.347 0.004 0.750
Be3 0.653 0.996 0.250
Be4 0.996 0.653 0.750
Fe1 0.308 0.692 0.250
Fe2 0.692 0.308 0.750

VASP energy, eV per atom: -5.45
Space group: No. 63
E above lowest polymorph, meV/atom: 142.1

No. 3
VASP calculation (PBE) on crystalline Be2Fe at its relaxed geometry.

Cell: 3.541 3.541 2.389 Å, 90.00 90.00 120.00°
Positions (direct):
Be1 0.333 0.667 0.000
Be2 0.667 0.333 0.000
Fe1 0.000 0.000 0.500

VASP energy, eV per atom: -5.48
Space group: No. 191
E above lowest polymorph, meV/atom: 111.2

No. 4
VASP calculation (PBE) on crystalline Be4Fe at its relaxed geometry.

Cell: 3.883 3.883 3.883 Å, 90.00 90.00 90.00°
Positions (direct):
Be1 0.000 0.000 0.000
Be2 0.000 0.500 0.500
Be3 0.500 0.000 0.500
Be4 0.500 0.500 0.000
Fe1 0.500 0.500 0.500

VASP energy, eV per atom: -3.69
Space group: No. 221
E above lowest polymorph, meV/atom: 1018.0

No. 5
VASP calculation (PBE) on crystalline Be4Fe3 at its relaxed geometry.

Cell: 9.547 9.547 9.547 Å, 164.56 164.56 21.90°
Positions (direct):
Be1 0.074 0.074 0.000
Be2 0.363 0.363 0.000
Be3 0.637 0.637 0.000
Be4 0.926 0.926 0.000
Fe1 0.211 0.211 0.000
Fe2 0.500 0.500 0.000
Fe3 0.789 0.789 0.000

VASP energy, eV per atom: -5.89
Space group: No. 139

No. 6
VASP calculation (PBE) on crystalline Be2Fe at its relaxed geometry.

Cell: 4.163 4.163 13.638 Å, 90.00 90.00 120.00°
Positions (direct):
Be1 0.000 0.500 0.000
Be2 0.000 0.500 0.500
Be3 0.163 0.326 0.250
Be4 0.163 0.837 0.250
Be5 0.326 0.163 0.750
Be6 0.333 0.667 0.125
Be7 0.333 0.667 0.375
Be8 0.500 0.000 0.000
Be9 0.500 0.000 0.500
Be10 0.500 0.500 0.000
Be11 0.500 0.500 0.500
Be12 0.667 0.333 0.625
Be13 0.667 0.333 0.875
Be14 0.674 0.837 0.250
Be15 0.837 0.163 0.750
Be16 0.837 0.674 0.750
Fe1 0.000 0.000 0.094
Fe2 0.000 0.000 0.406
Fe3 0.000 0.000 0.594
Fe4 0.000 0.000 0.906
Fe5 0.333 0.667 0.655
Fe6 0.333 0.667 0.845
Fe7 0.667 0.333 0.155
Fe8 0.667 0.333 0.345

VASP energy, eV per atom: -5.59
Space group: No. 194
E above lowest polymorph, meV/atom: 2.8

These records have total magnetization values of 2.97 0.86 1.04 0.00 1.46 1.80 μB per formula unit, in the order they appear.
These records have E_form values of 331.0 -144.1 -175.0 979.6 -131.0 -283.4 meV per atom, in the order they appear.